A plane-wave DFT calculation with GGA-PBE was carried out for ZrSc2TaSi after structural relaxation.

Structure (extended XYZ):
```
5
Lattice="5.049 0.000 0.000 0.000 5.049 0.000 0.000 0.000 4.912" Properties=species:S:1:pos:R:3 pbc="T T T"
Zr 0.000 0.000 0.000
Sc 0.000 2.524 0.000
Sc 2.524 0.000 0.000
Ta 0.000 0.000 2.456
Si 2.524 2.524 2.456
```

M_tot = 0.00 μB/f.u.
Formation energy (no corrections) = 6.671 eV/f.u.
Symmetry = P4/mmm